# ZnMo2OsO (GGA+U, optimized geometry)
data_ZnMo2OsO
_chemical_formula_sum 'Zn1 Mo2 Os1 O1'
_cell_length_a 5.364
_cell_length_b 5.364
_cell_length_c 3.688
_cell_angle_alpha 90.00
_cell_angle_beta 90.00
_cell_angle_gamma 90.00
_space_group_name_H-M_alt 'P 4/m m m'
_space_group_IT_number 123
_space_group_name_Hall '-P 4 2'
loop_
_atom_site_label
_atom_site_type_symbol
_atom_site_fract_x
_atom_site_fract_y
_atom_site_fract_z
Zn1 Zn 0.000 0.000 0.000
Mo1 Mo 0.000 0.500 0.500
Os1 Os 0.500 0.500 0.500
O1 O 0.500 0.500 0.000
# energy	-5.37	eV/atom
# size of the total moment	7.73	μB/f.u.